The following is a PBE-GGA calculation of a geometry-optimized LaDy7Y5 structure, from the Alexandria database.

total moment = 0.00 μB/f.u.
space-group type = Imm2
DFT formation energy = 0.26 eV per atom
final energy = -66.044 eV for the cell shown

Lattice parameters (Å, degrees): 8.7603 8.7603 8.7603 134.96 99.65 97.22
Closest atoms and distances in Å follow each position.
Positions (direct):
La 0.0000 0.0000 0.0000  5 Dy 3.64-3.99, 4 Y 3.97
Dy 0.2308 0.5270 0.7038  4 Dy 3.37-3.71, 5 Y 3.38-3.43
Dy 0.3141 0.3141 0.0000  1 Dy 3.33, 6 Y 3.44-3.55, 1 La 3.64
Dy 0.3714 0.0273 0.3441  5 Y 3.51-3.70, 6 Dy 3.52-3.89, 1 La 3.90
Dy 0.6017 0.6017 0.0000  3 Dy 3.33-3.46, 4 Y 3.68
Dy 0.6832 0.0273 0.6559  5 Y 3.51-3.70, 6 Dy 3.52-3.89, 1 La 3.90
Dy 0.8141 0.3141 0.5000  4 Y 3.16, 2 Dy 3.37
Dy 0.8232 0.5270 0.2962  4 Dy 3.37-3.71, 5 Y 3.38-3.43
Y 0.0092 0.0168 0.4667  5 Dy 3.16-3.53, 3 Y 3.18-3.53
Y 0.0092 0.5425 0.9924  5 Dy 3.16-3.53, 3 Y 3.18-3.53
Y 0.2466 0.7466 0.5000  6 Dy 3.43-3.70, 4 Y 3.47
Y 0.5500 0.0168 0.0076  5 Dy 3.16-3.53, 3 Y 3.18-3.53
Y 0.5500 0.5425 0.5333  5 Dy 3.16-3.53, 3 Y 3.18-3.53